Entry 1:
Entry from Alexandria: an optimized crystal structure of PrTmMg (PBE).

a b c (Å): 6.988 6.988 5.277
angles (deg): 90.00 90.00 135.87
Positions (direct):
Pr 0.090 0.910 0.750
Pr 0.910 0.090 0.250
Tm 0.408 0.592 0.750
Tm 0.592 0.408 0.250
Mg 0.250 0.750 0.250
Mg 0.750 0.250 0.750

Entry 2:
Entry from Alexandria: an optimized crystal structure of LiYIn2 (PBE).

a b c (Å): 3.332 4.627 6.497
angles (deg): 90.00 90.00 90.00
Positions (direct):
Li 0.000 0.000 0.000
Y 0.500 0.500 0.298
In 0.000 0.000 0.525
In 0.500 0.500 0.805

Entry 3:
Entry from Alexandria: an optimized crystal structure of KRh (PBE).

a b c (Å): 8.837 8.837 8.837
angles (deg): 90.00 90.00 90.00
Positions (direct):
K 0.000 0.250 0.500
K 0.000 0.750 0.500
K 0.250 0.500 0.000
K 0.500 0.000 0.250
K 0.500 0.000 0.750
K 0.750 0.500 0.000
Rh 0.000 0.500 0.250
Rh 0.000 0.500 0.750
Rh 0.250 0.000 0.500
Rh 0.500 0.250 0.000
Rh 0.500 0.750 0.000
Rh 0.750 0.000 0.500

Entry 4:
Entry from Alexandria: an optimized crystal structure of Ti4VGa3 (PBE).

a b c (Å): 7.168 7.168 7.168
angles (deg): 144.34 144.34 51.31
Positions (direct):
Ti 0.122 0.622 0.500
Ti 0.378 0.878 0.500
Ti 0.622 0.122 0.500
Ti 0.878 0.378 0.500
V 0.000 0.000 0.000
Ga 0.243 0.243 0.000
Ga 0.500 0.500 0.000
Ga 0.757 0.757 0.000

Entry 5:
Entry from Alexandria: an optimized crystal structure of KCdAs2 (PBE).

a b c (Å): 3.631 3.631 8.152
angles (deg): 90.00 90.00 90.00
Positions (direct):
K 0.000 0.000 0.000
Cd 0.500 0.500 0.681
As 0.000 0.000 0.419
As 0.500 0.500 0.305

Formation energy / eV/f.u.: -0.1 -0.7 3.7 -3.0 -0.2
Total DFT energy (no corrections) / eV/atom: -3.66 -3.64 -2.36 -6.60 -2.88